Material: Tb5Te2As2
Method: DFT, PBE-GGA
State: optimized geometry

Cell lengths 7.874, 8.549, 8.549 Å; angles 125.18, 90.00, 90.00 degrees
Fractional positions:
Tb1 0.500 0.500 0.500
Tb2 0.158 0.217 0.470
Tb3 0.658 0.030 0.283
Tb4 0.158 0.470 0.217
Tb5 0.342 0.970 0.717
Tb6 0.842 0.530 0.783
Tb7 0.658 0.283 0.030
Tb8 0.342 0.717 0.970
Tb9 0.842 0.783 0.530
Tb10 0.000 0.000 0.000
As1 0.144 0.647 0.647
As2 0.644 0.853 0.853
As3 0.856 0.353 0.353
As4 0.356 0.147 0.147
Te1 0.000 0.202 0.798
Te2 0.500 0.702 0.298
Te3 0.000 0.798 0.202
Te4 0.500 0.298 0.702

Results
For the spin magnetization, the calculation gives 0.0 μB/cell. Its space group is No. 64. As for the calculated volume: 470.3 Å³ per cell. The value obtained for the density of states at the Fermi level is 0.9128 states/eV/atom. As for the formation energy without anion corrections: -1.226 eV per atom.